(1)
A plane-wave DFT calculation with GGA-PBE was carried out for a geometry-optimized BaAlS3 structure.

- Uncorrected formation energy: -5.75 eV per formula unit
- Excess energy over the best structure of this formula in the dataset: 0.046 eV/atom

Structure (CIF):
```
data_BaAlS3
_cell_length_a 3.9075
_cell_length_b 8.4070
_cell_length_c 7.9948
_cell_angle_alpha 90.00
_cell_angle_beta 90.24
_cell_angle_gamma 90.00
_space_group_name_H-M_alt 'P 1 21/m 1'
_space_group_IT_number 11
loop_
_space_group_symop_operation_xyz
'x,y,z'
'-x,-y,-z'
'-x,y+1/2,-z'
'x,-y+1/2,z'
loop_
_atom_site_label
_atom_site_type_symbol
_atom_site_fract_x
_atom_site_fract_y
_atom_site_fract_z
_atom_site_occupancy
Ba1 Ba 0.0007 0.2500 0.0842 1
Al1 Al 0.4961 0.2500 0.6443 1
S1 S 0.0051 0.7500 0.5074 1
S2 S 0.4980 0.0377 0.8166 1
```

(2)
A plane-wave DFT calculation with GGA-PBE was carried out for a geometry-optimized Tl12Hg3F5 structure.

- Uncorrected formation energy: -14.28 eV per formula unit

Structure (CIF):
```
data_Tl12Hg3F5
_cell_length_a 16.9851
_cell_length_b 16.9851
_cell_length_c 16.9851
_cell_angle_alpha 90.00
_cell_angle_beta 90.00
_cell_angle_gamma 90.00
_space_group_name_H-M_alt 'I a -3 d'
_space_group_IT_number 230
_space_group_name_Hall '-I 4bd 2c 3'
loop_
_atom_site_label
_atom_site_type_symbol
_atom_site_fract_x
_atom_site_fract_y
_atom_site_fract_z
_atom_site_occupancy
Tl1 Tl 0.0348 0.0595 0.6457 1
Hg1 Hg 0.0000 0.2500 0.1250 1
F1 F 0.0000 0.0000 0.0000 1
F2 F 0.0000 0.2500 0.3750 1
```

(3)
A plane-wave DFT calculation with GGA-PBE was carried out for a geometry-optimized NdDyTm2Tl2 structure.

- DFT formation energy: -260 meV/atom

Structure (CIF):
```
data_NdDyTm2Tl2
_cell_length_a 5.1139
_cell_length_b 10.0150
_cell_length_c 6.7853
_cell_angle_alpha 90.00
_cell_angle_beta 90.00
_cell_angle_gamma 90.00
_space_group_name_H-M_alt 'P m c 21'
_space_group_IT_number 26
loop_
_space_group_symop_operation_xyz
'x,y,z'
'-x,-y,z+1/2'
'-x,y,z'
'x,-y,z+1/2'
loop_
_atom_site_label
_atom_site_type_symbol
_atom_site_fract_x
_atom_site_fract_y
_atom_site_fract_z
_atom_site_occupancy
Nd1 Nd 0.0000 0.0408 0.0000 1
Dy1 Dy 0.5000 0.1927 0.7233 1
Tm1 Tm 0.0000 0.3187 0.3770 1
Tm2 Tm 0.5000 0.4580 0.0917 1
Tl1 Tl 0.0000 0.3696 0.8389 1
Tl2 Tl 0.5000 0.1423 0.2603 1
```

(4)
A plane-wave DFT calculation with GGA-PBE was carried out for a geometry-optimized SiNiRh2 structure.

- Uncorrected formation energy: -0.78 eV per formula unit

Structure (CIF):
```
data_SiNiRh2
_cell_length_a 2.7419
_cell_length_b 4.2292
_cell_length_c 4.5324
_cell_angle_alpha 90.00
_cell_angle_beta 90.00
_cell_angle_gamma 90.00
_space_group_name_H-M_alt 'P m m m'
_space_group_IT_number 47
loop_
_space_group_symop_operation_xyz
'x,y,z'
'-x,-y,-z'
'-x,-y,z'
'x,y,-z'
'x,-y,-z'
'-x,y,z'
'-x,y,-z'
'x,-y,z'
loop_
_atom_site_label
_atom_site_type_symbol
_atom_site_fract_x
_atom_site_fract_y
_atom_site_fract_z
_atom_site_occupancy
Si1 Si 0.0000 0.0000 0.0000 1
Ni1 Ni 0.5000 0.0000 0.5000 1
Rh1 Rh 0.0000 0.5000 0.5000 1
Rh2 Rh 0.5000 0.5000 0.0000 1
```

(5)
A plane-wave DFT calculation with GGA-PBE was carried out for a geometry-optimized Pm8Tl3In4 structure.

- DFT formation energy: -133 meV/atom

Structure (CIF):
```
data_Pm8Tl3In4
_cell_length_a 12.6076
_cell_length_b 12.6109
_cell_length_c 8.7974
_cell_angle_alpha 90.00
_cell_angle_beta 134.21
_cell_angle_gamma 90.00
_space_group_name_H-M_alt 'C 1 2/m 1'
_space_group_IT_number 12
loop_
_space_group_symop_operation_xyz
'x,y,z'
'-x,-y,-z'
'-x,y,-z'
'x,-y,z'
'x+1/2,y+1/2,z'
'-x+1/2,-y+1/2,-z'
'-x+1/2,y+1/2,-z'
'x+1/2,-y+1/2,z'
loop_
_atom_site_label
_atom_site_type_symbol
_atom_site_fract_x
_atom_site_fract_y
_atom_site_fract_z
_atom_site_occupancy
Pm1 Pm 0.0000 0.2203 0.0000 1
Pm2 Pm 0.0000 0.2494 0.5000 1
Pm3 Pm 0.2199 0.0000 0.4409 1
Pm4 Pm 0.2201 0.0000 0.9988 1
Tl1 Tl 0.0000 0.5000 0.5000 1
Tl2 Tl 0.2500 0.2500 0.5000 1
In1 In 0.0000 0.0000 0.5000 1
In2 In 0.0000 0.5000 0.0000 1
In3 In 0.2500 0.2500 0.0000 1
```

(6)
A plane-wave DFT calculation with GGA-PBE was carried out for a geometry-optimized SiIF3 structure.

- Uncorrected formation energy: -12.07 eV per formula unit
- Excess energy over the best structure of this formula in the dataset: 0.000 eV/atom

Structure (CIF):
```
data_SiIF3
_cell_length_a 4.9265
_cell_length_b 8.3187
_cell_length_c 6.4109
_cell_angle_alpha 90.00
_cell_angle_beta 102.55
_cell_angle_gamma 90.00
_space_group_name_H-M_alt 'P 1 21/m 1'
_space_group_IT_number 11
loop_
_space_group_symop_operation_xyz
'x,y,z'
'-x,-y,-z'
'-x,y+1/2,-z'
'x,-y+1/2,z'
loop_
_atom_site_label
_atom_site_type_symbol
_atom_site_fract_x
_atom_site_fract_y
_atom_site_fract_z
_atom_site_occupancy
Si1 Si 0.1114 0.2500 0.4875 1
I1 I 0.3160 0.2500 0.8613 1
F1 F 0.1991 0.0953 0.3703 1
F2 F 0.2204 0.7500 0.5597 1
```

(7)
A plane-wave DFT calculation with GGA-PBE was carried out for a geometry-optimized PrSm3Tm6Sc2 structure.

- DFT formation energy: 40 meV/atom

Structure (CIF):
```
data_PrSm3Tm6Sc2
_cell_length_a 6.0699
_cell_length_b 10.5095
_cell_length_c 11.6041
_cell_angle_alpha 90.00
_cell_angle_beta 100.02
_cell_angle_gamma 90.00
_space_group_name_H-M_alt 'C 1 2/m 1'
_space_group_IT_number 12
loop_
_space_group_symop_operation_xyz
'x,y,z'
'-x,-y,-z'
'-x,y,-z'
'x,-y,z'
'x+1/2,y+1/2,z'
'-x+1/2,-y+1/2,-z'
'-x+1/2,y+1/2,-z'
'x+1/2,-y+1/2,z'
loop_
_atom_site_label
_atom_site_type_symbol
_atom_site_fract_x
_atom_site_fract_y
_atom_site_fract_z
_atom_site_occupancy
Pr1 Pr 0.0000 0.0000 0.0000 1
Sm1 Sm 0.0000 0.1672 0.5000 1
Sm2 Sm 0.0000 0.5000 0.5000 1
Tm1 Tm 0.2458 0.5000 0.2451 1
Tm2 Tm 0.2503 0.1680 0.2450 1
Sc1 Sc 0.0000 0.3332 0.0000 1
```

(8)
A plane-wave DFT calculation with GGA-PBE was carried out for a geometry-optimized LaTiCu structure.

- Excess energy over the best structure of this formula in the dataset: 0.060 eV/atom
- DFT formation energy: 74 meV/atom

Structure (CIF):
```
data_LaTiCu
_cell_length_a 10.9259
_cell_length_b 4.3879
_cell_length_c 5.4827
_cell_angle_alpha 90.00
_cell_angle_beta 93.69
_cell_angle_gamma 90.00
_space_group_name_H-M_alt 'C 1 m 1'
_space_group_IT_number 8
loop_
_space_group_symop_operation_xyz
'x,y,z'
'x,-y,z'
'x+1/2,y+1/2,z'
'x+1/2,-y+1/2,z'
loop_
_atom_site_label
_atom_site_type_symbol
_atom_site_fract_x
_atom_site_fract_y
_atom_site_fract_z
_atom_site_occupancy
La1 La 0.0000 0.0000 0.0000 1
La2 La 0.0711 0.5000 0.4947 1
Ti1 Ti 0.2310 0.5000 0.0258 1
Ti2 Ti 0.2861 0.0000 0.7156 1
Cu1 Cu 0.2947 0.0000 0.2364 1
Cu2 Cu 0.3481 0.5000 0.4918 1
```

(9)
A plane-wave DFT calculation with GGA-PBE was carried out for a geometry-optimized MgAg4Bi structure.

- Excess energy over the best structure of this formula in the dataset: 0.025 eV/atom
- DFT formation energy: 5 meV/atom

Structure (CIF):
```
data_MgAg4Bi
_cell_length_a 4.8675
_cell_length_b 4.8675
_cell_length_c 6.0467
_cell_angle_alpha 90.00
_cell_angle_beta 90.00
_cell_angle_gamma 120.00
_space_group_name_H-M_alt 'P 6/m m m'
_space_group_IT_number 191
_space_group_name_Hall '-P 6 2'
loop_
_atom_site_label
_atom_site_type_symbol
_atom_site_fract_x
_atom_site_fract_y
_atom_site_fract_z
_atom_site_occupancy
Mg1 Mg 0.0000 0.0000 0.0000 1
Ag1 Ag 0.3333 0.6667 0.2328 1
Bi1 Bi 0.0000 0.0000 0.5000 1
```

(10)
A plane-wave DFT calculation with GGA-PBE was carried out for a geometry-optimized Tb5Nd4Tm structure.

- Excess energy over the best structure of this formula in the dataset: 0.012 eV/atom
- DFT formation energy: 234 meV/atom

Structure (CIF):
```
data_Tb5Nd4Tm
_cell_length_a 10.6649
_cell_length_b 10.6649
_cell_length_c 6.0156
_cell_angle_alpha 90.00
_cell_angle_beta 90.00
_cell_angle_gamma 90.00
_space_group_name_H-M_alt 'I 4 m m'
_space_group_IT_number 107
_space_group_name_Hall 'I 4 -2'
loop_
_atom_site_label
_atom_site_type_symbol
_atom_site_fract_x
_atom_site_fract_y
_atom_site_fract_z
_atom_site_occupancy
Tb1 Tb 0.0000 0.0000 0.0000 1
Tb2 Tb 0.1883 0.1883 0.2665 1
Nd1 Nd 0.0000 0.3229 0.7527 1
Tm1 Tm 0.0000 0.0000 0.5254 1
```

(11)
A plane-wave DFT calculation with GGA-PBE was carried out for a geometry-optimized LiCaSe2Br structure.

- Uncorrected formation energy: -3.31 eV per formula unit
- Excess energy over the best structure of this formula in the dataset: 0.218 eV/atom

Structure (CIF):
```
data_LiCaSe2Br
_cell_length_a 5.5700
_cell_length_b 5.5700
_cell_length_c 5.6990
_cell_angle_alpha 90.00
_cell_angle_beta 90.00
_cell_angle_gamma 90.00
_space_group_name_H-M_alt 'P 4/m m m'
_space_group_IT_number 123
_space_group_name_Hall '-P 4 2'
loop_
_atom_site_label
_atom_site_type_symbol
_atom_site_fract_x
_atom_site_fract_y
_atom_site_fract_z
_atom_site_occupancy
Li1 Li 0.0000 0.0000 0.0000 1
Ca1 Ca 0.5000 0.5000 0.5000 1
Se1 Se 0.0000 0.5000 0.5000 1
Br1 Br 0.5000 0.5000 0.0000 1
```

(12)
A plane-wave DFT calculation with GGA-PBE was carried out for a geometry-optimized Cs2RbNpSe6 structure.

- Uncorrected formation energy: -7.84 eV per formula unit

Structure (CIF):
```
data_Cs2RbNpSe6
_cell_length_a 11.8910
_cell_length_b 11.8910
_cell_length_c 11.8910
_cell_angle_alpha 90.00
_cell_angle_beta 90.00
_cell_angle_gamma 90.00
_space_group_name_H-M_alt 'F m -3 m'
_space_group_IT_number 225
_space_group_name_Hall '-F 4 2 3'
loop_
_atom_site_label
_atom_site_type_symbol
_atom_site_fract_x
_atom_site_fract_y
_atom_site_fract_z
_atom_site_occupancy
Cs1 Cs 0.2500 0.2500 0.2500 1
Rb1 Rb 0.0000 0.0000 0.0000 1
Np1 Np 0.0000 0.0000 0.5000 1
Se1 Se 0.0000 0.0000 0.2799 1
```

no.,E_tot (hartree per atom)
1,-0.175
2,-0.097
3,-0.151
4,-0.245
5,-0.142
6,-0.181
7,-0.177
8,-0.205
9,-0.103
10,-0.163
11,-0.117
12,-0.163